# 1
## LiAcErAu (GGA-PBE)

Data for a geometry-optimized LiAcErAu structure.

abc: 7.5617 7.5617 7.5617
angles: 90.00 90.00 90.00
With the nearest neighbours (Å) after each atom.
Space group F-43m (No. 216)
Symmetry-distinct sites (fractional):
Li (0.0000, 0.0000, 0.0000) (multiplicity 4)  4 Ac 3.27, 4 Er 3.27
Ac (0.2500, 0.2500, 0.7500) (multiplicity 4)  4 Li 3.27, 4 Au 3.27
Er (0.2500, 0.2500, 0.2500) (multiplicity 4)  4 Li 3.27, 4 Au 3.27
Au (0.0000, 0.0000, 0.5000) (multiplicity 4)  4 Ac 3.27, 4 Er 3.27

Output
Its energy relative to the elements is -1.24 eV per formula unit. The value obtained for the total energy is -3.78 eV per atom.


# 2
## TbIn3Ni (GGA-PBE)

Data for a geometry-optimized TbIn3Ni structure.

abc: 8.8995 4.3251 11.4944
angles: 90.00 90.00 90.00
With the nearest neighbours (Å) after each atom.
Space group Pnma (No. 62)
Symmetry-distinct sites (fractional):
Tb (0.1917, 0.2500, 0.0042) (multiplicity 4)  8 In 3.22-3.46, 2 Ni 3.27
In (0.0596, 0.2500, 0.5831) (multiplicity 4)  3 Ni 2.64-2.72
In (0.1070, 0.7500, 0.8025) (multiplicity 4)  2 Ni 2.61-2.65
In (0.1445, 0.7500, 0.2133) (multiplicity 4)  2 Ni 2.74, 2 In 2.96-3.03
Ni (0.1087, 0.2500, 0.3567) (multiplicity 4)  7 In 2.61-2.74

Output
Its energy relative to the elements is -1.72 eV per formula unit. The value obtained for the total energy is -4.07 eV per atom.


# 3
## TbCe3Pm2S6 (GGA-PBE)

Data for a geometry-optimized TbCe3Pm2S6 structure.

abc: 6.9413 12.0308 6.9676
angles: 90.00 109.44 90.00
With the nearest neighbours (Å) after each atom.
Space group C2/m (No. 12)
Symmetry-distinct sites (fractional):
Tb (0.0000, 0.0000, 0.0000) (multiplicity 2)  6 S 2.79-2.80
Ce (0.0000, 0.1686, 0.5000) (multiplicity 4)  6 S 2.84-2.87
Ce (0.0000, 0.5000, 0.5000) (multiplicity 2)  6 S 2.84-2.88
Pm (0.0000, 0.3335, 0.0000) (multiplicity 4)  6 S 2.84
S (0.2451, 0.0000, 0.7521) (multiplicity 4)  1 Tb 2.80, 2 Pm 2.84, 3 Ce 2.85-2.88
S (0.2458, 0.1640, 0.2457) (multiplicity 8)  1 Tb 2.79, 2 Pm 2.84, 3 Ce 2.84-2.87

Output
The value obtained for the total energy is -6.77 eV per atom.


# 4
## BeAgSe2 (GGA-PBE)

Data for a geometry-optimized BeAgSe2 structure.

abc: 5.7727 5.7727 10.2875
angles: 90.00 90.00 90.00
With the nearest neighbours (Å) after each atom.
Space group I-42d (No. 122)
Symmetry-distinct sites (fractional):
Be (0.0000, 0.0000, 0.0000) (multiplicity 4)  4 Se 2.24
Ag (0.0000, 0.0000, 0.5000) (multiplicity 4)  4 Se 2.62
Se (0.1944, 0.2500, 0.1250) (multiplicity 8)  2 Be 2.24

Output
The value obtained for the total energy is -3.70 eV per atom.


# 5
## ZrZnBr2 (GGA-PBE)

Data for a geometry-optimized ZrZnBr2 structure.

abc: 3.6702 5.8942 9.7810
angles: 90.00 90.00 90.00
With the nearest neighbours (Å) after each atom.
Space group Cmm2 (No. 35)
Symmetry-distinct sites (fractional):
Zr (0.0000, 0.0000, 0.0000) (multiplicity 2)  2 Br 2.75, 2 Zn 2.81
Zn (0.0000, 0.5000, 0.2176) (multiplicity 2)  2 Br 2.49
Br (0.0000, 0.0000, 0.3892) (multiplicity 2)  2 Zn 2.49
Br (0.0000, 0.5000, 0.7906) (multiplicity 2)  2 Zr 2.75

Output
The value obtained for the total energy is -3.81 eV per atom. The value obtained for the excess energy over the best structure of this formula in the dataset is 143 meV per atom.


# 6
## CdTcRu2 (GGA-PBE)

Data for a geometry-optimized CdTcRu2 structure.

abc: 2.8469 4.6267 4.7364
angles: 90.00 90.00 90.00
With the nearest neighbours (Å) after each atom.
Space group Pmmm (No. 47)
Symmetry-distinct sites (fractional):
Cd (0.0000, 0.0000, 0.0000) (multiplicity 1)  4 Ru 2.72, 4 Tc 2.76, 2 Cd 2.85
Tc (0.5000, 0.0000, 0.5000) (multiplicity 1)  4 Ru 2.72, 4 Cd 2.76, 2 Tc 2.85
Ru (0.0000, 0.5000, 0.5000) (multiplicity 1)  4 Tc 2.72, 6 Ru 2.76-2.85
Ru (0.5000, 0.5000, 0.0000) (multiplicity 1)  4 Cd 2.72, 6 Ru 2.76-2.85

Output
Its energy relative to the elements is 2.47 eV per formula unit. The value obtained for the total energy is -6.84 eV per atom.


# 7
## Sc3IrC4 (GGA-PBE)

Data for a geometry-optimized Sc3IrC4 structure.

abc: 5.6276 12.2914 5.6268
angles: 90.00 104.79 90.00
With the nearest neighbours (Å) after each atom.
Space group C2/m (No. 12)
Symmetry-distinct sites (fractional):
Sc (0.0000, 0.1896, 0.0000) (multiplicity 4)  6 C 2.35-2.41
Sc (0.0000, 0.3085, 0.5000) (multiplicity 4)  6 C 2.34-2.41
Sc (0.2379, 0.0000, 0.7633) (multiplicity 4)  8 C 2.41-2.47
Ir (0.2286, 0.5000, 0.7282) (multiplicity 4)  4 C 2.18-2.19
C (0.0813, 0.1274, 0.4189) (multiplicity 8)  1 C 1.45
C (0.0808, 0.3715, 0.9188) (multiplicity 8)  1 C 1.45

Output
Its energy relative to the elements is -3.99 eV per formula unit. The value obtained for the total energy is -8.59 eV per atom.


# 8
## GdAlAg2 (GGA-PBE)

Data for a geometry-optimized GdAlAg2 structure.

abc: 3.2201 3.2201 7.7444
angles: 90.00 90.00 90.00
With the nearest neighbours (Å) after each atom.
Space group P4/mmm (No. 123)
Symmetry-distinct sites (fractional):
Gd (0.0000, 0.0000, 0.0000) (multiplicity 1)  8 Ag 3.22, 4 Gd 3.22
Al (0.0000, 0.0000, 0.5000) (multiplicity 1)  8 Ag 2.78
Ag (0.5000, 0.5000, 0.2936) (multiplicity 2)  4 Al 2.78

Output
Its energy relative to the elements is -0.60 eV per formula unit. The value obtained for the total energy is -6.03 eV per atom.